A relaxed structure of Tb2CeU2Ru5, computed with PBE.

Cell lengths 3.636, 10.550, 10.550 Å; angles 90.00, 90.00, 90.00 degrees
Sites, in units of the cell vectors:
Tb: 0.000 0.675 0.175
U: 0.000 0.634 0.866
Ce: 0.000 0.000 0.000
U: 0.000 0.134 0.634
Ru: 0.500 0.000 0.500
Ru: 0.500 0.208 0.053
Tb: 0.000 0.175 0.325
U: 0.000 0.866 0.366
Ru: 0.500 0.447 0.292
Ru: 0.500 0.500 0.000
Ru: 0.500 0.708 0.447
U: 0.000 0.366 0.134
Tb: 0.000 0.325 0.825
Ce: 0.000 0.500 0.500
Ru: 0.500 0.053 0.792
Ru: 0.500 0.947 0.208
Ru: 0.500 0.792 0.947
Tb: 0.000 0.825 0.675
Ru: 0.500 0.292 0.553
Ru: 0.500 0.553 0.708

The value obtained for the calculated formation energy is -284 meV per atom. For the total magnetic moment, the calculation gives 0.000 μB/atom.